No. 1
! Cd7Te5 | the Alexandria database | GGA-PBE | optimized geometry; values from VASP
&SYSTEM
  ibrav = 0, nat = 12, ntyp = 2
/
ATOMIC_SPECIES
Te 127.60 Te.upf
Cd 112.41 Cd.upf
ATOMIC_POSITIONS angstrom
Te -0.1294 -0.5254 0.4174
Te -0.8223 -5.2794 -0.6281
Te -0.6284 -0.6117 5.3080
Te -4.4328 -2.3244 1.9726
Te -2.9207 0.5784 -0.3594
Cd -0.7080 -2.8752 2.2840
Cd -3.9090 -0.0763 4.4979
Cd -4.0829 -4.2621 -0.8253
Cd -2.7746 -2.8208 4.6133
Cd -5.2153 -1.5093 -0.9472
Cd -5.1223 0.7287 1.8989
Cd -2.8676 -5.0588 1.7672
CELL_PARAMETERS angstrom
-0.9204 -7.2169 -2.9153
-0.5725 1.1547 7.7310
-5.9028 4.1452 -3.0666
! - raw formation energy (eV per atom) = 0.043


No. 2
! Cd5Te7 | the Alexandria database | GGA-PBE | optimized geometry; values from VASP
&SYSTEM
  ibrav = 0, nat = 12, ntyp = 2
/
ATOMIC_SPECIES
Te 127.60 Te.upf
Cd 112.41 Cd.upf
ATOMIC_POSITIONS angstrom
Te 0.5679 2.0595 6.4473
Te -1.6112 -3.3020 4.5136
Te -4.3170 2.6797 2.8423
Te -5.0794 -3.5676 3.1023
Te -1.9874 2.4765 4.4110
Te -0.4769 -0.8618 5.3444
Te -6.5898 -0.2293 2.1690
Cd -1.5453 -0.6378 0.2160
Cd -2.2457 5.2163 5.5931
Cd 1.0463 -2.0608 7.6277
Cd -5.1955 -1.0339 4.6949
Cd -0.6826 0.4334 2.6521
CELL_PARAMETERS angstrom
-7.2487 4.1079 -1.0384
-1.8361 -7.8568 2.3068
4.6788 3.7557 5.8737
! - raw formation energy (eV per atom) = 0.106


Q: Which of these has the highest raw formation energy?
A: Cd5Te7


Q: The highest raw formation energy belongs to which entry?
A: Cd5Te7


Q: raw formation energy of number 1 (Cd7Te5)?
A: 0.043 eV per atom


Q: Number 1 is which compound?
A: Cd7Te5